First-principles (PBE-GGA) data for a geometry-optimized La2Ge6OsRu structure, as listed in Alexandria via LeMat-Bulk.

Cell lengths 7.5337, 7.5337, 27.9624 Å; angles 90.00, 90.00, 120.00 degrees
Space group R-3m (No. 166, hexagonal axes)
Asymmetric unit:
La (0.0000, 0.0000, 0.1385) [6 per cell]
La (0.0000, 0.0000, 0.2890) [6 per cell]
Ge (0.0166, 0.5083, 0.1176) [18 per cell]
Ge (0.0309, 0.5155, 0.7193) [18 per cell]
Os (0.0000, 0.0000, 0.3923) [6 per cell]
Ru (0.0000, 0.0000, 0.0000) [3 per cell]
Ru (0.0000, 0.0000, 0.5000) [3 per cell]

Calculated values
The mass density is 7.3 g/cm3. The calculation puts the density of states at the Fermi level at 32.738 states/eV per cell. The value obtained for the total moment is 0.000 μB per formula unit. The calculation puts the energy relative to the elements at -23 kJ per mole of atoms.